Record 1
Entry from Alexandria via LeMat-Bulk: a geometry-optimized RbAgF2 structure (GGA-PBEsol).

The uncorrected formation energy comes out at -682 kJ/mol of formula units. As for the crystal system: trigonal. As for the offset from the most stable computed form: 0 meV/atom. For the density of states at the Fermi level, the calculation gives 0.000 states/eV/f.u. As for the space group: R-3m.

a = 7.281 Å, b = 7.281 Å, c = 7.281 Å
α = 32.32°, β = 32.32°, γ = 32.32°
Positions (direct):
Rb 0.000 0.000 0.000
Ag 0.500 0.500 0.500
F 0.403 0.403 0.403
F 0.597 0.597 0.597

Record 2
Entry from Alexandria via LeMat-Bulk: a geometry-optimized RbAgF3 structure (GGA-PBEsol).

The uncorrected formation energy comes out at -906 kJ/mol of formula units. As for the crystal system: tetragonal. For the density of states at the Fermi level, the calculation gives 1.044 states/eV/f.u. As for the space group: I4/mcm.

a = 6.125 Å, b = 6.125 Å, c = 6.125 Å
α = 119.78°, β = 119.78°, γ = 90.38°
Positions (direct):
Rb 0.250 0.250 0.000
Rb 0.750 0.750 0.000
Ag 0.000 0.500 0.500
Ag 0.500 0.000 0.500
F 0.243 0.743 0.986
F 0.250 0.750 0.500
F 0.257 0.243 0.500
F 0.743 0.757 0.500
F 0.750 0.250 0.500
F 0.757 0.257 0.014

Record 3
Entry from Alexandria via LeMat-Bulk: a geometry-optimized RbAgF2 structure (GGA-PBEsol).

The uncorrected formation energy comes out at -653 kJ/mol of formula units. As for the crystal system: tetragonal. As for the offset from the most stable computed form: 74 meV/atom. As for the space group: I-42d.

a = 7.320 Å, b = 7.320 Å, c = 7.320 Å
α = 137.04°, β = 137.04°, γ = 62.38°
Positions (direct):
Rb 0.000 0.000 0.000
Rb 0.750 0.250 0.500
Ag 0.250 0.750 0.500
Ag 0.500 0.500 0.000
F 0.188 0.625 0.063
F 0.375 0.438 0.563
F 0.562 0.125 0.937
F 0.875 0.812 0.437

Record 4
Entry from Alexandria via LeMat-Bulk: a geometry-optimized Rb2AgF structure (GGA-PBEsol).

The uncorrected formation energy comes out at -434 kJ/mol of formula units. As for the crystal system: tetragonal. As for the space group: I-42d.

a = 7.230 Å, b = 7.230 Å, c = 7.230 Å
α = 112.97°, β = 112.97°, γ = 102.68°
Positions (direct):
Rb 0.037 0.625 0.912
Rb 0.375 0.287 0.412
Rb 0.713 0.125 0.088
Rb 0.875 0.963 0.588
Ag 0.250 0.750 0.500
Ag 0.500 0.500 0.000
F 0.000 0.000 0.000
F 0.750 0.250 0.500

Record 5
Entry from Alexandria via LeMat-Bulk: a geometry-optimized Rb2AgRhF6 structure (GGA-PBEsol).

The uncorrected formation energy comes out at -1925 kJ/mol of formula units. As for the crystal system: cubic. As for the space group: Fm-3m.

a = 6.093 Å, b = 6.093 Å, c = 6.093 Å
α = 60.00°, β = 60.00°, γ = 60.00°
Positions (direct):
Rb 0.250 0.250 0.250
Rb 0.750 0.750 0.750
Ag 0.000 0.000 0.000
Rh 0.500 0.500 0.500
F 0.269 0.269 0.731
F 0.269 0.731 0.269
F 0.269 0.731 0.731
F 0.731 0.269 0.269
F 0.731 0.269 0.731
F 0.731 0.731 0.269

Record 6
Entry from Alexandria via LeMat-Bulk: a geometry-optimized Rb2AgRuF6 structure (GGA-PBEsol).

The uncorrected formation energy comes out at -1897 kJ/mol of formula units. As for the crystal system: cubic. For the density of states at the Fermi level, the calculation gives 10.897 states/eV/f.u. As for the space group: Fm-3m.

a = 6.135 Å, b = 6.135 Å, c = 6.135 Å
α = 60.00°, β = 60.00°, γ = 60.00°
Positions (direct):
Rb 0.250 0.250 0.250
Rb 0.750 0.750 0.750
Ag 0.000 0.000 0.000
Ru 0.500 0.500 0.500
F 0.269 0.269 0.731
F 0.269 0.731 0.269
F 0.269 0.731 0.731
F 0.731 0.269 0.269
F 0.731 0.269 0.731
F 0.731 0.731 0.269